P) This record from Alexandria describes an optimized crystal structure of SrAlSCl2. The functional is PBE. Values from VASP.

Cell and atoms, written as Quantum ESPRESSO input:
```
&SYSTEM
  ibrav = 0, nat = 5, ntyp = 4
/
ATOMIC_SPECIES
Sr 87.62 Sr.upf
S 32.06 S.upf
Al 26.98 Al.upf
Cl 35.45 Cl.upf
CELL_PARAMETERS angstrom
4.926 0.000 0.000
0.000 4.926 0.000
0.000 0.000 4.933
ATOMIC_POSITIONS crystal
Sr 0.500 0.500 0.500
S 0.000 0.000 0.500
Al 0.000 0.000 0.000
Cl 0.000 0.500 0.000
Cl 0.500 0.000 0.000
```

Calculated values
The calculation puts the total moment at 0.000 μB/f.u.

Q) This record from Alexandria describes an optimized crystal structure of SrAlSCl2. The functional is PBE. Values from VASP.

Cell and atoms, written as Quantum ESPRESSO input:
```
&SYSTEM
  ibrav = 0, nat = 5, ntyp = 4
/
ATOMIC_SPECIES
Sr 87.62 Sr.upf
S 32.06 S.upf
Al 26.98 Al.upf
Cl 35.45 Cl.upf
CELL_PARAMETERS angstrom
5.584 0.000 0.000
0.000 5.584 0.000
0.000 0.000 5.858
ATOMIC_POSITIONS crystal
Sr 0.000 0.000 0.000
S 0.000 0.000 0.500
Al 0.500 0.500 0.500
Cl 0.000 0.500 0.000
Cl 0.500 0.000 0.000
```

Calculated values
The calculation puts the total moment at 1.005 μB/f.u.

Which is the most stable structure? P) is the most stable.

P) This record from Alexandria describes an optimized crystal structure of TaAlSCl2. The functional is PBE. Values from VASP.

Cell and atoms, written as Quantum ESPRESSO input:
```
&SYSTEM
  ibrav = 0, nat = 5, ntyp = 4
/
ATOMIC_SPECIES
S 32.06 S.upf
Cl 35.45 Cl.upf
Al 26.98 Al.upf
Ta 180.95 Ta.upf
CELL_PARAMETERS angstrom
4.603 0.000 0.000
0.000 4.603 0.000
0.000 0.000 4.807
ATOMIC_POSITIONS crystal
S 0.000 0.000 0.500
Cl 0.000 0.500 0.000
Cl 0.500 0.000 0.000
Al 0.000 0.000 0.000
Ta 0.500 0.500 0.500
```

Calculated values
The calculation puts the total moment at 3.504 μB/f.u.

Q) This record from Alexandria describes an optimized crystal structure of TaAlSCl2. The functional is PBE. Values from VASP.

Cell and atoms, written as Quantum ESPRESSO input:
```
&SYSTEM
  ibrav = 0, nat = 5, ntyp = 4
/
ATOMIC_SPECIES
S 32.06 S.upf
Cl 35.45 Cl.upf
Al 26.98 Al.upf
Ta 180.95 Ta.upf
CELL_PARAMETERS angstrom
4.913 0.000 0.000
0.000 4.913 0.000
0.000 0.000 4.821
ATOMIC_POSITIONS crystal
S 0.000 0.000 0.500
Cl 0.000 0.500 0.000
Cl 0.500 0.000 0.000
Al 0.500 0.500 0.500
Ta 0.000 0.000 0.000
```

Calculated values
The calculation puts the total moment at 0.396 μB/f.u.

Which is the most stable structure? Q) is the most stable.

P) This record from Alexandria describes an optimized crystal structure of AlTcS2Cl. The functional is PBE. Values from VASP.

Cell and atoms, written as Quantum ESPRESSO input:
```
&SYSTEM
  ibrav = 0, nat = 5, ntyp = 4
/
ATOMIC_SPECIES
S 32.06 S.upf
Al 26.98 Al.upf
Tc 98.00 Tc.upf
Cl 35.45 Cl.upf
CELL_PARAMETERS angstrom
-0.777 1.303 -4.324
-1.672 -4.159 -0.953
-4.719 1.592 1.328
ATOMIC_POSITIONS crystal
S 0.000 0.500 0.000
S 0.500 0.000 0.000
Al 0.500 0.500 0.500
Tc 0.000 0.000 0.000
Cl 0.000 0.000 0.500
```

Calculated values
The calculation puts the total moment at 0.000 μB/f.u.

Q) This record from Alexandria describes an optimized crystal structure of AlTcS2Cl. The functional is PBE. Values from VASP.

Cell and atoms, written as Quantum ESPRESSO input:
```
&SYSTEM
  ibrav = 0, nat = 5, ntyp = 4
/
ATOMIC_SPECIES
S 32.06 S.upf
Al 26.98 Al.upf
Tc 98.00 Tc.upf
Cl 35.45 Cl.upf
CELL_PARAMETERS angstrom
4.711 0.000 0.000
0.000 4.711 0.000
0.000 0.000 4.561
ATOMIC_POSITIONS crystal
S 0.000 0.500 0.000
S 0.500 0.000 0.000
Al 0.000 0.000 0.000
Tc 0.500 0.500 0.500
Cl 0.000 0.000 0.500
```

Calculated values
The calculation puts the total moment at 4.935 μB/f.u.

Which is the most stable structure? P) is the most stable.

P) This record from Alexandria describes an optimized crystal structure of AlTcSCl2. The functional is PBE. Values from VASP.

Cell and atoms, written as Quantum ESPRESSO input:
```
&SYSTEM
  ibrav = 0, nat = 5, ntyp = 4
/
ATOMIC_SPECIES
S 32.06 S.upf
Al 26.98 Al.upf
Tc 98.00 Tc.upf
Cl 35.45 Cl.upf
CELL_PARAMETERS angstrom
-2.949 1.985 -3.068
-2.196 -4.114 -0.551
-2.962 1.104 3.561
ATOMIC_POSITIONS crystal
S 0.000 0.000 0.500
Al 0.000 0.000 0.000
Tc 0.500 0.500 0.500
Cl 0.000 0.500 0.000
Cl 0.500 0.000 0.000
```

Calculated values
The calculation puts the total moment at 4.645 μB/f.u.

Q) This record from Alexandria describes an optimized crystal structure of AlTcSCl2. The functional is PBE. Values from VASP.

Cell and atoms, written as Quantum ESPRESSO input:
```
&SYSTEM
  ibrav = 0, nat = 5, ntyp = 4
/
ATOMIC_SPECIES
S 32.06 S.upf
Al 26.98 Al.upf
Tc 98.00 Tc.upf
Cl 35.45 Cl.upf
CELL_PARAMETERS angstrom
-2.880 1.893 3.655
2.597 -2.626 3.406
2.848 3.425 0.470
ATOMIC_POSITIONS crystal
S 0.000 0.000 0.500
Al 0.500 0.500 0.500
Tc 0.000 0.000 0.000
Cl 0.000 0.500 0.000
Cl 0.500 0.000 0.000
```

Calculated values
The calculation puts the total moment at 0.631 μB/f.u.

Which is the most stable structure? Q) is the most stable.

P) This record from Alexandria describes an optimized crystal structure of AlTeS2Cl. The functional is PBE. Values from VASP.

Cell and atoms, written as Quantum ESPRESSO input:
```
&SYSTEM
  ibrav = 0, nat = 5, ntyp = 4
/
ATOMIC_SPECIES
S 32.06 S.upf
Te 127.60 Te.upf
Al 26.98 Al.upf
Cl 35.45 Cl.upf
CELL_PARAMETERS angstrom
4.770 0.000 0.000
0.000 4.770 0.000
0.000 0.000 4.502
ATOMIC_POSITIONS crystal
S 0.000 0.500 0.000
S 0.500 0.000 0.000
Te 0.500 0.500 0.500
Al 0.000 0.000 0.000
Cl 0.000 0.000 0.500
```

Calculated values
The calculation puts the total moment at 0.000 μB/f.u.

Q) This record from Alexandria describes an optimized crystal structure of AlTeS2Cl. The functional is PBE. Values from VASP.

Cell and atoms, written as Quantum ESPRESSO input:
```
&SYSTEM
  ibrav = 0, nat = 5, ntyp = 4
/
ATOMIC_SPECIES
S 32.06 S.upf
Te 127.60 Te.upf
Al 26.98 Al.upf
Cl 35.45 Cl.upf
CELL_PARAMETERS angstrom
5.117 0.000 0.000
0.000 5.117 0.000
0.000 0.000 5.311
ATOMIC_POSITIONS crystal
S 0.000 0.500 0.000
S 0.500 0.000 0.000
Te 0.000 0.000 0.000
Al 0.500 0.500 0.500
Cl 0.000 0.000 0.500
```

Calculated values
The calculation puts the total moment at 0.000 μB/f.u.

Which is the most stable structure? P) is the most stable.

P) This record from Alexandria describes an optimized crystal structure of TiAlSCl2. The functional is PBE. Values from VASP.

Cell and atoms, written as Quantum ESPRESSO input:
```
&SYSTEM
  ibrav = 0, nat = 5, ntyp = 4
/
ATOMIC_SPECIES
S 32.06 S.upf
Cl 35.45 Cl.upf
Al 26.98 Al.upf
Ti 47.87 Ti.upf
CELL_PARAMETERS angstrom
4.919 0.000 0.000
0.000 4.919 0.000
0.000 0.000 4.764
ATOMIC_POSITIONS crystal
S 0.000 0.000 0.500
Cl 0.000 0.500 0.000
Cl 0.500 0.000 0.000
Al 0.500 0.500 0.500
Ti 0.000 0.000 0.000
```

Calculated values
The calculation puts the total moment at 0.964 μB/f.u.

Q) This record from Alexandria describes an optimized crystal structure of TiAlSCl2. The functional is PBE. Values from VASP.

Cell and atoms, written as Quantum ESPRESSO input:
```
&SYSTEM
  ibrav = 0, nat = 5, ntyp = 4
/
ATOMIC_SPECIES
S 32.06 S.upf
Cl 35.45 Cl.upf
Al 26.98 Al.upf
Ti 47.87 Ti.upf
CELL_PARAMETERS angstrom
4.677 0.000 0.000
0.000 4.677 0.000
0.000 0.000 4.773
ATOMIC_POSITIONS crystal
S 0.000 0.000 0.500
Cl 0.000 0.500 0.000
Cl 0.500 0.000 0.000
Al 0.000 0.000 0.000
Ti 0.500 0.500 0.500
```

Calculated values
The calculation puts the total moment at 2.619 μB/f.u.

Which is the most stable structure? P) is the most stable.

P) This record from Alexandria describes an optimized crystal structure of AlTlS2Cl. The functional is PBE. Values from VASP.

Cell and atoms, written as Quantum ESPRESSO input:
```
&SYSTEM
  ibrav = 0, nat = 5, ntyp = 4
/
ATOMIC_SPECIES
Tl 204.38 Tl.upf
Al 26.98 Al.upf
S 32.06 S.upf
Cl 35.45 Cl.upf
CELL_PARAMETERS angstrom
-2.862 3.632 0.613
-0.840 -1.400 4.369
3.946 2.828 1.664
ATOMIC_POSITIONS crystal
Tl 0.500 0.500 0.500
Al 0.000 0.000 0.000
S 0.000 0.500 0.000
S 0.500 0.000 0.000
Cl 0.000 0.000 0.500
```

Calculated values
The calculation puts the total moment at 0.437 μB/f.u.

Q) This record from Alexandria describes an optimized crystal structure of AlTlS2Cl. The functional is PBE. Values from VASP.

Cell and atoms, written as Quantum ESPRESSO input:
```
&SYSTEM
  ibrav = 0, nat = 5, ntyp = 4
/
ATOMIC_SPECIES
Tl 204.38 Tl.upf
Al 26.98 Al.upf
S 32.06 S.upf
Cl 35.45 Cl.upf
CELL_PARAMETERS angstrom
5.111 0.000 0.000
0.000 5.111 0.000
0.000 0.000 5.432
ATOMIC_POSITIONS crystal
Tl 0.000 0.000 0.000
Al 0.500 0.500 0.500
S 0.000 0.500 0.000
S 0.500 0.000 0.000
Cl 0.000 0.000 0.500
```

Calculated values
The calculation puts the total moment at 0.061 μB/f.u.

Which is the most stable structure? P) is the most stable.